SmIn4Cu4: relaxed, PBE-GGA.

The structure in POSCAR format:
```
SmIn4Cu4
1.0
-4.2810 1.6031 -0.5999
-3.1759 -8.4134 0.1811
-1.0318 0.5814 8.9163
In Sm Cu
8 2 8
Cartesian
-3.1604 -7.1923 3.3292
-1.0483 -0.6393 5.7681
-4.2278 -1.8937 7.3970
-7.2347 -3.3080 7.3584
-5.4983 -6.0353 5.3880
-5.5340 -1.3181 0.5394
-4.2599 -4.3355 1.1007
-2.9913 -0.1932 3.1095
0.0000 0.0000 0.0000
-4.2443 -3.1144 4.2488
-2.8170 -0.7222 0.4582
-5.6711 -5.5069 8.0395
-3.2380 0.5911 6.9663
-6.4499 -3.1050 2.2988
-5.2514 -6.8197 1.5312
-6.3192 -1.5210 5.5989
-2.7810 -5.4395 5.3068
-1.4274 -2.3922 3.7906
```

## Properties
* formation energy from the elements: -0.064 eV/atom
* total DFT energy (no corrections): -65.27 eV for the cell shown
* density of states at the Fermi level: 0.38 states/eV/atom